DFT (PBE) results for a relaxed SiTc2Os crystal.

Summary:
total magnetization	0.194	μB per atom
energy	-9.3393	eV/atom
volume	55.9	Å³/cell
ρ	12.30	g/cm³

Cell: 4.2927 4.2927 4.2927 Å, 60.00 60.00 60.00°
Closest atoms and distances in Å follow each position.
Element x y z (fractional)
Si: 0.0000 0.0000 0.0000  4 Tc 2.63, 4 Os 2.63
Tc: 0.5000 0.5000 0.5000  4 Tc 2.63, 4 Os 2.63
Tc: 0.7500 0.7500 0.7500  4 Tc 2.63, 4 Si 2.63
Os: 0.2500 0.2500 0.2500  4 Tc 2.63, 4 Si 2.63

DFT (PBE) results for a relaxed SiTeOs crystal.

Summary:
total magnetization	0.000	μB per atom
energy	-6.3881	eV/atom
energy above the lowest structure with this stoichiometry	0.0	meV/atom
volume	57.8	Å³/cell
ρ	9.94	g/cm³

Cell: 4.3396 4.3396 4.3396 Å, 60.00 60.00 60.00°
Closest atoms and distances in Å follow each position.
Element x y z (fractional)
Si: 0.0000 0.0000 0.0000  4 Os 2.66
Te: 0.5000 0.5000 0.5000  4 Os 2.66
Os: 0.2500 0.2500 0.2500  4 Te 2.66, 4 Si 2.66

DFT (PBE) results for a relaxed Th2Si3Os crystal.

Summary:
total magnetization	0.001	μB per atom
energy	-7.8211	eV/atom
volume	248.3	Å³/cell
ρ	9.88	g/cm³

Cell: 8.2687 8.2501 5.9024 Å, 69.23 68.90 41.87°
Closest atoms and distances in Å follow each position.
Element x y z (fractional)
Th: 0.2432 0.7568 0.2432  2 Os 3.12, 10 Si 3.17-3.21
Th: 0.2500 0.2500 0.2500  8 Si 3.16-3.18, 4 Os 3.19
Th: 0.7500 0.7500 0.7500  8 Si 3.16-3.18, 4 Os 3.19
Th: 0.7568 0.2432 0.7568  2 Os 3.12, 10 Si 3.17-3.21
Si: 0.1698 0.6628 0.8302  2 Si 2.37-2.39, 1 Os 2.41
Si: 0.3328 0.3328 0.6672  2 Si 2.37, 1 Os 2.38
Si: 0.3372 0.8302 0.6628  2 Si 2.37-2.39, 1 Os 2.41
Si: 0.6628 0.1698 0.3372  2 Si 2.37-2.39, 1 Os 2.41
Si: 0.6672 0.6672 0.3328  2 Si 2.37, 1 Os 2.38
Si: 0.8302 0.3372 0.1698  2 Si 2.37-2.39, 1 Os 2.41
Os: 0.1657 0.1657 0.8343  3 Si 2.38-2.41
Os: 0.8343 0.8343 0.1657  3 Si 2.38-2.41

DFT (PBE) results for a relaxed Th2Si5Os3 crystal.

Summary:
total magnetization	0.000	μB per atom
energy	-8.3087	eV/atom
volume	349.2	Å³/cell
ρ	11.18	g/cm³

Cell: 8.3027 8.3027 8.3027 Å, 106.47 88.19 138.43°
Closest atoms and distances in Å follow each position.
Element x y z (fractional)
Th: 0.1315 0.2309 0.3624  10 Si 3.01-3.27, 3 Os 3.10-3.18
Th: 0.3685 0.7309 0.0994  10 Si 3.01-3.27, 3 Os 3.10-3.18
Th: 0.6315 0.2691 0.9006  10 Si 3.01-3.27, 3 Os 3.10-3.18
Th: 0.8685 0.7691 0.6376  10 Si 3.01-3.27, 3 Os 3.10-3.18
Si: 0.0308 0.7500 0.2808  3 Os 2.45-2.61, 2 Si 2.55
Si: 0.1018 0.6543 0.7561  3 Os 2.39-2.45, 2 Si 2.55
Si: 0.2500 0.2500 0.0000  4 Os 2.52
Si: 0.3982 0.1543 0.5526  3 Os 2.39-2.45, 2 Si 2.55
Si: 0.4692 0.7500 0.7192  3 Os 2.45-2.61, 2 Si 2.55
Si: 0.5308 0.2500 0.2808  3 Os 2.45-2.61, 2 Si 2.55
Si: 0.6018 0.8457 0.4474  3 Os 2.39-2.45, 2 Si 2.55
Si: 0.7500 0.7500 0.0000  4 Os 2.52
Si: 0.8982 0.3457 0.2439  3 Os 2.39-2.45, 2 Si 2.55
Si: 0.9692 0.2500 0.7192  3 Os 2.45-2.61, 2 Si 2.55
Os: 0.1446 0.8889 0.0335  5 Si 2.39-2.52
Os: 0.2500 0.7500 0.5000  6 Si 2.45-2.61
Os: 0.3554 0.3889 0.7444  5 Si 2.39-2.52
Os: 0.6446 0.6111 0.2556  5 Si 2.39-2.52
Os: 0.7500 0.2500 0.5000  6 Si 2.45-2.61
Os: 0.8554 0.1111 0.9665  5 Si 2.39-2.52

total magnetization of number 4 (Th2Si5Os3)? 0.000 μB per atom